# CdRuO4F

An optimized crystal structure of CdRuO4F (PBE, Alexandria via LeMat-Bulk).

Cell and atoms, written as extended XYZ:
```
14
Lattice="-2.179 -4.700 2.821 4.538 -1.192 3.576 -2.079 2.406 7.319" Properties=species:S:1:pos:R:3 pbc="T T T"
O -1.432 -2.568 10.105
F 0.304 -3.231 12.320
Ru 0.034 -2.066 9.305
Cd -1.291 0.949 7.081
O -0.397 -0.961 8.006
O 0.843 -3.467 8.615
Cd 1.571 -4.435 6.635
Ru 0.246 -1.420 4.411
O -0.563 -0.019 5.101
O -0.837 -2.250 3.325
O 0.678 -2.525 5.710
F -0.023 -0.255 1.397
O 1.713 -0.918 3.611
O 1.117 -1.236 10.391
```

Symmetry: No. 12
ΔE_f (raw), eV/atom: -0.9878
Mass density, g cm⁻³: 3.90

# CsHg4Sb2

An optimized crystal structure of CsHg4Sb2 (PBE, Alexandria via LeMat-Bulk).

Cell and atoms, written as extended XYZ:
```
7
Lattice="-5.109 -0.872 2.168 2.306 -2.964 4.243 -0.534 7.540 1.773" Properties=species:S:1:pos:R:3 pbc="T T T"
Sb -2.065 4.358 4.166
Cs 0.000 0.000 0.000
Sb -1.272 -0.654 4.018
Hg 0.361 3.533 2.271
Hg 1.411 1.043 3.745
Hg -2.345 1.615 2.403
Hg -0.992 2.089 5.782
```

Symmetry: No. 65
ΔE_f (raw), eV/atom: -0.1148
Excess energy over the best structure of this formula in the dataset, kJ per mole of atoms: 0.0
Mass density, g cm⁻³: 8.51

# Tm2ScSe4

An optimized crystal structure of Tm2ScSe4 (PBE, Alexandria via LeMat-Bulk).

Cell and atoms, written as extended XYZ:
```
14
Lattice="3.024 -0.263 7.347 1.049 -6.906 3.621 7.308 -2.659 1.197" Properties=species:S:1:pos:R:3 pbc="T T T"
Se 4.363 -2.688 6.708
Sc 2.037 -3.584 5.484
Se 6.524 -3.821 3.642
Se 2.766 -2.407 3.076
Tm 5.166 -1.461 4.272
Tm 4.179 -4.782 2.409
Se 4.857 -6.006 8.522
Se 3.355 -5.875 4.873
Sc 0.525 -3.453 1.811
Se 8.616 -7.420 9.089
Se 7.018 -7.139 5.456
Se 8.026 -3.952 7.291
Tm 0.000 0.000 0.000
Tm 3.654 -1.329 0.599
```

Symmetry: No. 74
ΔE_f (raw), eV/atom: -1.7960
Excess energy over the best structure of this formula in the dataset, kJ per mole of atoms: 0.0
Mass density, g cm⁻³: 6.67

# MgTcGe

An optimized crystal structure of MgTcGe (PBE, Alexandria via LeMat-Bulk).

Cell and atoms, written as extended XYZ:
```
3
Lattice="-2.317 1.118 1.983 -2.020 -2.314 -1.055 3.664 -2.232 2.880" Properties=species:S:1:pos:R:3 pbc="T T T"
Ge 0.925 -1.751 2.069
Tc -1.606 -1.663 1.722
Mg 0.007 -0.014 0.017
```

Symmetry: No. 107
E_form, eV per atom: -0.087
Excess energy over the best structure of this formula in the dataset, kJ per mole of atoms: 7.3
Mass density, g cm⁻³: 6.63

no.,raw total energy (Ry/atom)
1,-0.40749
2,-0.11664
3,-0.43873
4,-0.41256